DFT (PBE-GGA) results for a relaxed structure of AuBr6N.

ρ ... 4.8 g/cm3
Final energy ... -52.058 eV/cell

a b c (Å): 9.871 9.871 9.871
angles (deg): 90.00 90.00 90.00
Space group F-43m (No. 216)
One atom of each set of equivalent atoms:
Au1 0.000 0.000 0.000 x4
Br1 0.000 0.000 0.257 x24
N1 0.250 0.250 0.750 x4

DFT (PBE-GGA) results for a relaxed structure of NaAuBr3.

ρ ... 4.9 g/cm3
Final energy ... -52.141 eV/cell

a b c (Å): 11.891 7.545 7.605
angles (deg): 90.00 114.38 90.00
Space group C2/m (No. 12)
One atom of each set of equivalent atoms:
Na1 0.215 0.000 0.181 x4
Au1 0.000 0.000 0.500 x2
Au2 0.000 0.500 0.000 x2
Br1 0.070 0.264 0.835 x8
Br2 0.222 0.000 0.570 x4

Q: What is the final energy in the second record?
A: -52.141 eV/cell

Q: What is the formula in the second record?
A: NaAuBr3

Q: Which of these has the lowest ρ?
A: AuBr6N

Q: The highest final energy belongs to which entry?
A: AuBr6N